# 1
V4Ge2Mo (PBE, optimized geometry); formation energy from the elements = 889.0 meV per atom; total DFT energy (no corrections) = -7.188 eV/atom; space group = I4/mmm
1.0
-2.2212 2.2212 6.6530
2.2212 -2.2212 6.6530
2.2212 2.2212 -6.6530
V Ge Mo
4 2 1
Cartesian
2.2212 0.0000 0.0000
0.0000 0.0000 2.4309
0.0000 2.2212 0.0000
0.0000 0.0000 10.8752
0.0000 0.0000 4.9471
0.0000 0.0000 8.3590
0.0000 0.0000 0.0000

# 2
VZnGeMo2 (PBE, optimized geometry); formation energy from the elements = 1335.4 meV per atom; total DFT energy (no corrections) = -5.999 eV/atom; space group = P4/mmm
1.0
4.6661 0.0000 0.0000
0.0000 4.6661 0.0000
0.0000 0.0000 4.2789
V Zn Ge Mo
1 1 1 2
Cartesian
0.0000 0.0000 0.0000
2.3331 2.3331 0.0000
2.3331 2.3331 2.1395
0.0000 2.3331 2.1395
2.3331 0.0000 2.1395

# 3
VZn2GeMo (PBE, optimized geometry); formation energy from the elements = 1148.1 meV per atom; total DFT energy (no corrections) = -4.275 eV/atom; space group = P4/mmm
1.0
4.6472 0.0000 0.0000
0.0000 4.6472 0.0000
0.0000 0.0000 4.5975
V Zn Ge Mo
1 2 1 1
Cartesian
0.0000 0.0000 0.0000
0.0000 2.3236 0.0000
2.3236 0.0000 0.0000
0.0000 0.0000 2.2987
2.3236 2.3236 2.2987

# 4
Ge3MoW (PBE, optimized geometry); formation energy from the elements = 1149.7 meV per atom; total DFT energy (no corrections) = -6.378 eV/atom; space group = Pm-3m; relative energy among the computed polymorphs = 0.0000 eV per atom
1.0
4.8907 0.0000 0.0000
0.0000 4.8907 0.0000
0.0000 0.0000 4.8907
Ge Mo W
3 1 1
Cartesian
0.0000 0.0000 2.4454
0.0000 2.4454 0.0000
2.4454 0.0000 0.0000
2.4454 2.4454 2.4454
0.0000 0.0000 0.0000

# 5
GeMoW2 (PBE, optimized geometry); formation energy from the elements = 1935.5 meV per atom; total DFT energy (no corrections) = -8.403 eV/atom; space group = I-42d
1.0
-2.8910 2.8910 5.7407
2.8910 -2.8910 5.7407
2.8910 2.8910 -5.7407
Ge Mo W
2 2 4
Cartesian
0.0000 0.0000 0.0000
0.0000 2.8910 2.8703
2.8910 0.0000 2.8703
0.0000 0.0000 5.7407
1.4455 -1.4411 4.3055
1.4499 1.4455 1.4352
1.4455 4.3321 -1.4352
1.4411 1.4455 7.1758

# 6
GeMoW (PBE, optimized geometry); formation energy from the elements = 127.5 meV per atom; total DFT energy (no corrections) = -9.340 eV/atom; space group = R3m; relative energy among the computed polymorphs = 0.0080 eV per atom
1.0
1.4916 0.8612 6.2207
-1.4916 0.8612 6.2207
0.0000 -1.7223 6.2207
Ge Mo W
1 1 1
Cartesian
0.0000 0.0000 0.0000
0.0000 0.0000 4.1974
0.0000 0.0000 8.3107

# 7
GeMoW (PBE, optimized geometry); formation energy from the elements = 131.4 meV per atom; total DFT energy (no corrections) = -9.336 eV/atom; space group = Cm; relative energy among the computed polymorphs = 0.0119 eV per atom
1.0
2.3021 -1.5852 0.0000
2.3021 1.5852 0.0000
-0.3289 0.0000 6.6938
Ge Mo W
1 1 1
Cartesian
0.0000 0.0000 0.0000
3.2822 0.0000 2.2580
0.9474 0.0000 4.4045

# 8
Ge2MoW (PBE, optimized geometry); formation energy from the elements = 261.1 meV per atom; total DFT energy (no corrections) = -7.994 eV/atom; space group = Fm-3m; relative energy among the computed polymorphs = 0.0000 eV per atom
1.0
0.0000 3.1341 3.1341
3.1341 0.0000 3.1341
3.1341 3.1341 0.0000
Ge Mo W
2 1 1
Cartesian
1.5671 1.5671 1.5671
4.7012 4.7012 4.7012
0.0000 0.0000 0.0000
3.1341 3.1341 3.1341

# 9
GeMoW3 (PBE, optimized geometry); formation energy from the elements = 1757.5 meV per atom; total DFT energy (no corrections) = -9.104 eV/atom; space group = Pm-3m; relative energy among the computed polymorphs = 0.0000 eV per atom
1.0
4.5468 0.0000 0.0000
0.0000 4.5468 0.0000
0.0000 0.0000 4.5468
Ge Mo W
1 1 3
Cartesian
0.0000 0.0000 0.0000
2.2734 2.2734 2.2734
0.0000 0.0000 2.2734
0.0000 2.2734 0.0000
2.2734 0.0000 0.0000

# 10
Ge2MoW (PBE, optimized geometry); formation energy from the elements = 756.1 meV per atom; total DFT energy (no corrections) = -7.499 eV/atom; space group = I-42d; relative energy among the computed polymorphs = 0.4950 eV per atom
1.0
-3.5069 3.5069 2.7782
3.5069 -3.5069 2.7782
3.5069 3.5069 -2.7782
Ge Mo W
4 2 2
Cartesian
5.2604 1.7442 -0.6946
1.7442 1.7535 0.6946
-1.7535 1.7627 2.0837
1.7627 1.7535 3.4728
3.5069 0.0000 1.3891
0.0000 0.0000 2.7782
0.0000 0.0000 0.0000
0.0000 3.5069 1.3891

# 11
Ge2Mo2W (PBE, optimized geometry); formation energy from the elements = 156.8 meV per atom; total DFT energy (no corrections) = -8.613 eV/atom; space group = P4/mbm
1.0
6.9110 0.0000 0.0000
0.0000 6.9110 0.0000
0.0000 0.0000 3.2504
Ge Mo W
4 4 2
Cartesian
0.9902 2.4653 0.0000
2.4653 5.9208 0.0000
4.4457 0.9902 0.0000
5.9208 4.4457 0.0000
1.0643 4.5198 1.6252
2.3912 1.0643 1.6252
4.5198 5.8467 1.6252
5.8467 2.3912 1.6252
0.0000 0.0000 0.0000
3.4555 3.4555 0.0000

# 12
GeMoW (PBE, optimized geometry); formation energy from the elements = 133.0 meV per atom; total DFT energy (no corrections) = -9.334 eV/atom; space group = P1; relative energy among the computed polymorphs = 0.0136 eV per atom
1.0
2.8718 0.0000 0.0000
-1.0992 2.6554 0.0000
-0.8763 -1.3229 6.3035
Ge Mo W
1 1 1
Cartesian
0.0000 0.0000 0.0000
1.5121 0.9237 2.0803
0.6245 -0.4188 4.1908

# 13
Ge2MoW (PBE, optimized geometry); formation energy from the elements = 433.0 meV per atom; total DFT energy (no corrections) = -7.822 eV/atom; space group = R-3m; relative energy among the computed polymorphs = 0.1719 eV per atom
1.0
1.4397 0.8312 9.4621
-1.4397 0.8312 9.4621
0.0000 -1.6624 9.4621
Ge Mo W
2 1 1
Cartesian
0.0000 0.0000 2.6217
0.0000 0.0000 25.7647
0.0000 0.0000 14.1932
0.0000 0.0000 0.0000

# 14
GeMoW (PBE, optimized geometry); formation energy from the elements = 124.9 meV per atom; total DFT energy (no corrections) = -9.342 eV/atom; space group = Cmmm; relative energy among the computed polymorphs = 0.0054 eV per atom
1.0
2.2890 -4.4474 0.0000
2.2890 4.4474 0.0000
0.0000 0.0000 4.5763
Ge Mo W
2 2 2
Cartesian
0.0000 0.0000 0.0000
2.2890 0.0000 2.2882
2.2890 2.9495 2.2882
2.2890 -2.9495 2.2882
2.2890 1.4973 0.0000
2.2890 -1.4973 0.0000

# 15
GeMoW (PBE, optimized geometry); formation energy from the elements = 135.7 meV per atom; total DFT energy (no corrections) = -9.332 eV/atom; space group = P-1; relative energy among the computed polymorphs = 0.0162 eV per atom
1.0
2.8040 0.0000 0.0000
-0.8042 5.2122 0.0000
-0.7516 -2.4253 6.6919
Ge Mo W
2 2 2
Cartesian
0.0000 0.0000 0.0000
0.9999 2.6061 0.0000
-0.7433 3.3386 2.2726
1.9915 -0.5518 4.4193
0.1850 2.0512 4.4188
1.0632 0.7356 2.2731

# 16
GeMoW (PBE, optimized geometry); formation energy from the elements = 204.7 meV per atom; total DFT energy (no corrections) = -9.262 eV/atom; space group = P3m1; relative energy among the computed polymorphs = 0.0853 eV per atom
1.0
4.5062 0.0000 0.0000
-2.2531 3.9025 0.0000
0.0000 0.0000 2.7659
Ge Mo W
1 1 1
Cartesian
0.0000 0.0000 0.0000
0.0000 2.6017 1.9625
2.2531 1.3008 0.1458

# 17
GeMo2W (PBE, optimized geometry); formation energy from the elements = 849.6 meV per atom; total DFT energy (no corrections) = -8.959 eV/atom; space group = I-42d
1.0
-3.4666 3.4666 2.8490
3.4666 -3.4666 2.8490
3.4666 3.4666 -2.8490
Ge Mo W
2 4 2
Cartesian
0.0000 0.0000 0.0000
0.0000 3.4666 1.4245
5.1999 1.6687 -0.7122
1.6687 1.7333 0.7122
-1.7333 1.7978 2.1367
1.7978 1.7333 3.5612
3.4666 0.0000 1.4245
0.0000 0.0000 2.8490

# 18
GeMoW (PBE, optimized geometry); formation energy from the elements = 121.5 meV per atom; total DFT energy (no corrections) = -9.346 eV/atom; space group = C2/m; relative energy among the computed polymorphs = 0.0020 eV per atom
1.0
4.2858 -2.5819 0.0000
4.2858 2.5819 0.0000
-1.8437 0.0000 4.3722
Ge Mo W
2 2 2
Cartesian
1.1080 0.0000 1.1547
5.6199 0.0000 3.2175
1.2233 0.0000 3.9021
5.5046 0.0000 0.4701
3.3639 1.2688 2.1861
3.3639 -1.2688 2.1861

# 19
GeMoW (PBE, optimized geometry); formation energy from the elements = 119.5 meV per atom; total DFT energy (no corrections) = -9.348 eV/atom; space group = C2/m; relative energy among the computed polymorphs = 0.0000 eV per atom
1.0
4.2949 -2.5699 0.0000
4.2949 2.5699 0.0000
-1.8519 0.0000 4.3829
Ge Mo W
2 2 2
Cartesian
1.1097 0.0000 1.1938
5.6282 0.0000 3.1891
3.3689 1.2610 2.1915
3.3689 -1.2610 2.1915
1.2264 0.0000 3.9279
5.5114 0.0000 0.4551

# 20
GeMoW3 (PBE, optimized geometry); formation energy from the elements = 2161.9 meV per atom; total DFT energy (no corrections) = -8.700 eV/atom; space group = Pm-3m; relative energy among the computed polymorphs = 0.4043 eV per atom
1.0
4.7652 0.0000 0.0000
0.0000 4.7652 0.0000
0.0000 0.0000 4.7652
Ge Mo W
1 1 3
Cartesian
0.0000 0.0000 0.0000
2.3826 2.3826 2.3826
0.0000 2.3826 2.3826
2.3826 0.0000 2.3826
2.3826 2.3826 0.0000